# IrOF (PBE-GGA, optimized geometry)
data_IrOF
_space_group_name_H-M_alt 'P n m a'
_space_group_IT_number 62
_cell_length_a 5.206
_cell_length_b 3.254
_cell_length_c 8.141
_cell_angle_alpha 90.00
_cell_angle_beta 90.00
_cell_angle_gamma 90.00
loop_
_space_group_symop_operation_xyz
'x,y,z'
'-x,-y,-z'
'-x+1/2,-y,z+1/2'
'x+1/2,y,-z+1/2'
'x+1/2,-y+1/2,-z+1/2'
'-x+1/2,y+1/2,z+1/2'
'-x,y+1/2,-z'
'x,-y+1/2,z'
loop_
_atom_site_label
_atom_site_type_symbol
_atom_site_fract_x
_atom_site_fract_y
_atom_site_fract_z
Ir1 Ir 0.113 0.250 0.164
O1 O 0.173 0.750 0.024
F1 F 0.092 0.750 0.319
# - Raw formation energy: -557 meV/atom